# OsBrNO2

A relaxed OsBrNO2 crystal (PBE, Alexandria via LeMat-Bulk).

Cell lengths 3.6240, 3.6240, 5.1921 Å; angles 90.00, 90.00, 90.00 degrees
Site moments in Bohr magnetons follow the coordinates.
Positions (direct):
Os1 0.5000 0.5000 0.5000  2.93
O1 0.0000 0.5000 0.0000  0.04
O2 0.5000 0.0000 0.0000  0.04
Br1 0.0000 0.0000 0.0000  -0.06
N1 0.0000 0.0000 0.5000  0.04

Summary:
- Formation energy (no corrections): 2.07 eV per atom
- Space group: P4/mmm
- Magnetization: 3.3 μB/f.u.